The following is a DFT calculation (GGA-PBE) of crystalline Cs3Tm3PaTe8 at its relaxed geometry.

Structure (POSCAR):
```
Cs3Tm3PaTe8
1.0
-4.525 3.250 6.961
-3.921 -5.747 -5.576
7.017 -4.183 6.514
Te Tm Cs Pa
8 3 3 1
direct
0.768 0.537 0.312 Te
0.768 0.043 0.312 Te
0.232 0.957 0.688 Te
0.232 0.463 0.688 Te
0.729 0.458 0.686 Te
0.271 0.542 0.314 Te
0.725 0.957 0.688 Te
0.275 0.043 0.312 Te
0.500 0.000 0.500 Tm
0.000 0.500 0.500 Tm
0.500 0.500 0.500 Tm
0.500 0.500 0.000 Cs
0.000 0.500 0.000 Cs
0.000 0.000 0.000 Cs
0.000 0.000 0.500 Pa
```

Output
For the uncorrected formation energy, the calculation gives -19.0 eV/f.u. The density of states at the Fermi level comes out at 3.08 states/eV/f.u.